1.
Density functional theory data (PBE+U) for NpMnCr2O6 after structural relaxation.

Output
raw total energy	-86.49	eV/cell
space-group type	R3 (146)
size of the total moment	1.40	μB per atom

a = 5.651 Å, b = 5.651 Å, c = 5.651 Å
α = 57.04°, β = 57.04°, γ = 57.04°
Fractional positions:
Np (0.000, 0.000, 0.000)
Mn (0.503, 0.503, 0.503)
Cr (0.291, 0.291, 0.291)
Cr (0.789, 0.789, 0.789)
O (0.071, 0.429, 0.659)
O (0.166, 0.922, 0.575)
O (0.429, 0.659, 0.071)
O (0.575, 0.166, 0.922)
O (0.659, 0.071, 0.429)
O (0.922, 0.575, 0.166)

2.
Density functional theory data (PBE+U) for NpMnCrO6 after structural relaxation.

Output
raw total energy	-154.30	eV/cell
space-group type	P-31c (163)
size of the total moment	0.89	μB per atom

a = 5.299 Å, b = 5.299 Å, c = 9.253 Å
α = 90.00°, β = 90.00°, γ = 120.00°
Fractional positions:
Np (0.333, 0.667, 0.250)
Np (0.667, 0.333, 0.750)
Mn (0.000, 0.000, 0.000)
Mn (0.000, 0.000, 0.500)
Cr (0.333, 0.667, 0.750)
Cr (0.667, 0.333, 0.250)
O (0.003, 0.350, 0.635)
O (0.003, 0.653, 0.865)
O (0.347, 0.350, 0.865)
O (0.347, 0.997, 0.635)
O (0.350, 0.003, 0.135)
O (0.350, 0.347, 0.365)
O (0.650, 0.653, 0.635)
O (0.650, 0.997, 0.865)
O (0.653, 0.003, 0.365)
O (0.653, 0.650, 0.135)
O (0.997, 0.347, 0.135)
O (0.997, 0.650, 0.365)